Material: Na3ReBi
Method: DFT, GGA-PBEsol
State: optimized geometry

Computed properties:
As for the size of the total moment: 5.0 μB per cell. The value obtained for the formation energy is 1.41 eV per atom. The calculation puts the density of states at the Fermi level at 0.99 states/eV/f.u. For the energy relative to the lowest polymorph listed for this composition, the calculation gives 0.0000 eV/atom.

a b c (Å): 5.8452 5.8452 5.8452
angles (deg): 90.00 90.00 90.00
Last column: nearest neighbours and their distance in Å.
Sites, in units of the cell vectors:
Bi  0.0000  0.0000  0.0000  6 Na 2.92
Na  0.0000  0.0000  0.5000  2 Bi 2.92
Na  0.5000  0.0000  0.0000  2 Bi 2.92
Na  0.0000  0.5000  0.0000  2 Bi 2.92
Re  0.5000  0.5000  0.5000  12 Na 4.13